Entry 1:
A geometry-optimized CeZrTiO6 structure, computed with PBE.

Cell and atoms, written as POSCAR:
```
CeZrTiO6
1.0
4.904 0.000 0.000
0.000 4.904 0.000
0.000 0.000 9.898
Ce Zr Ti O
2 2 2 12
direct
0.000 0.000 0.000
0.500 0.500 0.500
0.000 0.000 0.666
0.500 0.500 0.166
0.000 0.000 0.331
0.500 0.500 0.831
0.180 0.180 0.491
0.193 0.193 0.186
0.209 0.209 0.822
0.291 0.709 0.322
0.307 0.693 0.686
0.320 0.680 0.991
0.680 0.320 0.991
0.693 0.307 0.686
0.709 0.291 0.322
0.791 0.791 0.822
0.807 0.807 0.186
0.820 0.820 0.491
```

Its uncorrected formation energy is -28.52 eV/f.u. As for the magnetic moment: 0.000 μB per cell. The symmetry is No. 102.

Entry 2:
A geometry-optimized HfV2CoS structure, computed with PBE.

Cell and atoms, written as POSCAR:
```
HfV2CoS
1.0
4.317 0.000 0.000
0.000 4.317 0.000
0.000 0.000 4.855
Hf V Co S
1 2 1 1
direct
0.000 0.000 0.000
0.000 0.500 0.500
0.500 0.000 0.500
0.000 0.000 0.500
0.500 0.500 0.000
```

Its uncorrected formation energy is 2.52 eV/f.u. As for the magnetic moment: 2.842 μB per cell. The symmetry is No. 123.

Entry 3:
A geometry-optimized MnSi2Pb structure, computed with PBE.

Cell and atoms, written as POSCAR:
```
MnSi2Pb
1.0
3.585 0.000 0.000
0.000 3.121 0.000
0.000 0.000 13.885
Mn Si Pb
2 4 2
direct
0.000 0.000 0.000
0.000 0.500 0.500
0.000 0.000 0.367
0.000 0.500 0.867
0.500 0.000 0.489
0.500 0.500 0.989
0.500 0.000 0.198
0.500 0.500 0.698
```

Its uncorrected formation energy is 1.00 eV/f.u. As for the magnetic moment: 3.578 μB per cell. The symmetry is No. 38.